First-principles (GGA-PBE) data for a relaxed YTlMo2 crystal, as listed in Alexandria via LeMat-Bulk.

```
4
Lattice="1.560 0.900 9.825 -1.560 0.900 9.825 0.000 -1.801 9.825" Properties=species:S:1:pos:R:3 pbc="T T T"
Y 0.000 0.000 0.000
Tl 0.000 0.000 14.737
Mo 0.000 0.000 7.293
Mo 0.000 0.000 22.182
```

Values from the calculation:
DFT total energy = -6.8032 eV/atom
ΔH_f (0 K) = 0.8199 eV/atom
Theoretical density = 9.73 g/cm3
Offset from the most stable computed form = 671.2 meV per atom